DyTmRu | PBE | optimized geometry

Lattice parameters (Å, degrees): 14.0753 3.4668 6.7568 90.00 112.21 90.00
Space group C2/m (No. 12)
One atom of each set of equivalent atoms:
Dy: 0.0220 0.0000 0.2588 (multiplicity 4)
Tm: 0.2184 0.5000 0.7612 (multiplicity 4)
Ru: 0.1175 0.5000 0.0487 (multiplicity 4)

Properties
E (eV per atom): -6.40
Excess energy over the best structure of this formula in the dataset (meV/atom): 94.8